First-principles (PBE-GGA) data for LaPu3Tl2O12 after structural relaxation, as listed in the Alexandria database.

a b c (Å): 7.1364 7.1364 7.1364
angles (deg): 69.83 69.83 69.83
Fractional positions:
La: 0.0000 0.0000 0.0000
Pu: 0.0000 0.0000 0.5000
Pu: 0.0000 0.5000 0.0000
Pu: 0.5000 0.0000 0.0000
Tl: 0.3891 0.3891 0.3891
Tl: 0.6109 0.6109 0.6109
O: 0.0935 0.7519 0.7519
O: 0.1390 0.1390 0.5661
O: 0.1390 0.5661 0.1390
O: 0.2481 0.2481 0.9065
O: 0.2481 0.9065 0.2481
O: 0.4339 0.8610 0.8610
O: 0.5661 0.1390 0.1390
O: 0.7519 0.0935 0.7519
O: 0.7519 0.7519 0.0935
O: 0.8610 0.4339 0.8610
O: 0.8610 0.8610 0.4339
O: 0.9065 0.2481 0.2481

Crystal system: trigonal
Formation energy from raw total energies: -42.00 eV per formula unit
Electronic total energy: -8.56 eV/atom